VASP calculation (PBE) on a geometry-optimized CaIn2Pd structure.

Geometry as POSCAR:
```
CaIn2Pd
1.0
3.412 0.000 0.000
0.000 3.412 0.000
0.000 0.000 7.787
Ca In Pd
1 2 1
Cartesian
0.000 0.000 0.000
1.706 1.706 2.321
1.706 1.706 5.466
0.000 0.000 3.893
```

ΔH_f (0 K) ... -0.494 eV/atom